MgAgSBr: relaxed, PBE.

Cell and atoms, written as extended XYZ:
```
8
Lattice="2.187 1.263 12.082 -2.187 1.263 12.082 0.000 -2.525 12.082" Properties=species:S:1:pos:R:3 pbc="T T T"
Mg 0.000 0.000 7.265
Mg 0.000 0.000 28.979
Ag 0.000 0.000 14.702
Ag 0.000 0.000 21.543
S 0.000 0.000 4.698
S 0.000 0.000 31.547
Br 0.000 0.000 10.330
Br 0.000 0.000 25.915
```

Values from the calculation:
- E_form (uncorrected): -789.9 meV per atom

=====

CeNb2Ru: relaxed, PBE.

Cell and atoms, written as extended XYZ:
```
4
Lattice="1.463 0.844 10.149 -1.463 0.844 10.149 0.000 -1.689 10.149" Properties=species:S:1:pos:R:3 pbc="T T T"
Ce 0.000 0.000 0.000
Nb 0.000 0.000 2.890
Nb 0.000 0.000 27.558
Ru 0.000 0.000 15.224
```

Values from the calculation:
- Energy of formation: 261 meV per atom

=====

Li4MnFe: relaxed, PBE.

Cell and atoms, written as extended XYZ:
```
6
Lattice="0.000 3.513 3.513 3.513 0.000 3.513 3.513 3.513 0.000" Properties=species:S:1:pos:R:3 pbc="T T T"
Li 2.639 2.639 2.639
Li 4.388 4.388 2.639
Li 4.388 2.639 4.388
Li 2.639 4.388 4.388
Mn 0.000 0.000 0.000
Fe 5.270 5.270 5.270
```

Values from the calculation:
- Energy of formation: 479 meV per atom